No. 1
This record from Alexandria via LeMat-Bulk describes PrSmCdIn after structural relaxation. The functional is PBE-GGA.

Geometry as POSCAR:
```
PrSmCdIn
1.0
5.466 0.000 0.000
2.733 4.734 0.000
2.733 1.578 4.463
Sm Pr Cd In
1 1 1 1
direct
0.000 0.000 0.000
0.500 0.500 0.500
0.750 0.750 0.750
0.250 0.250 0.250
```

Values from the calculation:
Total energy ... -3.700 eV/atom
Crystal system ... cubic
E_form ... -40 kJ/mol of atoms

---

No. 2
This record from Alexandria via LeMat-Bulk describes HoMgInS4 after structural relaxation. The functional is PBE-GGA.

Geometry as POSCAR:
```
HoMgInS4
1.0
-4.377 6.315 -1.023
-1.706 2.413 -7.178
-7.248 -0.703 -2.687
S In Ho Mg
8 2 2 2
direct
0.753 0.224 0.270
0.766 0.241 0.741
0.251 0.241 0.741
0.247 0.776 0.730
0.247 0.230 0.276
0.753 0.770 0.724
0.234 0.759 0.259
0.749 0.759 0.259
0.368 0.382 0.882
0.632 0.618 0.118
0.000 0.000 0.000
0.000 0.500 0.500
0.500 0.000 0.500
0.000 0.000 0.500
```

Values from the calculation:
Total energy ... -4.969 eV/atom
Crystal system ... orthorhombic

---

No. 3
This record from Alexandria via LeMat-Bulk describes La2TlInRh after structural relaxation. The functional is PBE-GGA.

Geometry as POSCAR:
```
La2TlInRh
1.0
5.456 0.000 0.000
0.000 5.456 0.000
0.000 0.000 5.262
Rh La Tl In
1 2 1 1
direct
0.000 0.000 0.000
0.000 0.500 0.000
0.500 0.000 0.000
0.000 0.000 0.500
0.500 0.500 0.500
```

Values from the calculation:
Energy above the lowest structure with this stoichiometry ... 66 meV/atom
Total energy ... -4.901 eV/atom
Crystal system ... tetragonal
E_form ... -42 kJ/mol of atoms

---

No. 4
This record from Alexandria via LeMat-Bulk describes Y2BeNbSn after structural relaxation. The functional is PBE-GGA.

Geometry as POSCAR:
```
Y2BeNbSn
1.0
5.638 0.000 0.000
0.000 5.147 0.000
0.000 0.000 5.638
Y Sn Nb Be
2 1 1 1
direct
0.000 0.000 0.500
0.500 0.000 0.000
0.000 0.000 0.000
0.000 0.500 0.000
0.500 0.500 0.500
```

Values from the calculation:
Total energy ... -5.045 eV/atom
Crystal system ... tetragonal
E_form ... 106 kJ/mol of atoms

---

Copy entry 1 word for word.
This record from Alexandria via LeMat-Bulk describes PrSmCdIn after structural relaxation. The functional is PBE-GGA.

Geometry as POSCAR:
```
PrSmCdIn
1.0
5.466 0.000 0.000
2.733 4.734 0.000
2.733 1.578 4.463
Sm Pr Cd In
1 1 1 1
direct
0.000 0.000 0.000
0.500 0.500 0.500
0.750 0.750 0.750
0.250 0.250 0.250
```

Values from the calculation:
Total energy ... -3.700 eV/atom
Crystal system ... cubic
E_form ... -40 kJ/mol of atoms